Here is a relaxed structure of Ni2H6Pt from Alexandria via LeMat-Bulk. Energies are from PBE-GGA.

```
Ni2H6Pt
1.0
4.1752 -1.6689 0.0000
4.1752 1.6689 0.0000
-3.3538 0.0000 4.5751
Ni H Pt
2 6 1
direct
0.1852 0.1852 0.0940 Ni
0.8148 0.8148 0.9060 Ni
0.0468 0.0468 0.2220 H
0.2942 0.2942 0.9009 H
0.3649 0.3649 0.4348 H
0.6351 0.6351 0.5652 H
0.7058 0.7058 0.0991 H
0.9532 0.9532 0.7780 H
0.0000 0.0000 0.5000 Pt
```

Results
For the total DFT energy (no corrections), the calculation gives -37.2 eV/cell. Its crystal system is monoclinic. The value obtained for the density is 8.30 Mg/m³.